(1)
# RbYOF2 | the Alexandria database | meta-GGA SCAN | PBEsol geometry
data_RbYOF2
_cell_length_a 4.548
_cell_length_b 4.548
_cell_length_c 4.870
_cell_angle_alpha 90.00
_cell_angle_beta 90.00
_cell_angle_gamma 90.00
_symmetry_space_group_name_H-M 'P 4/m m m'
_symmetry_Int_Tables_number 123
_symmetry_space_group_name_Hall '-P 4 2'
loop_
_atom_site_label
_atom_site_type_symbol
_atom_site_fract_x
_atom_site_fract_y
_atom_site_fract_z
Rb1 Rb 0.000 0.000 0.000
Y1 Y 0.500 0.500 0.500
O1 O 0.000 0.000 0.500
F1 F 0.000 0.500 0.000
# Raw formation energy (meV/atom): -1401

(2)
# ScCoRe2 | the Alexandria database | meta-GGA SCAN | PBEsol geometry
data_ScCoRe2
_cell_length_a 3.079
_cell_length_b 3.079
_cell_length_c 6.270
_cell_angle_alpha 90.00
_cell_angle_beta 90.00
_cell_angle_gamma 90.00
_symmetry_space_group_name_H-M 'P 4/m m m'
_symmetry_Int_Tables_number 123
_symmetry_space_group_name_Hall '-P 4 2'
loop_
_atom_site_label
_atom_site_type_symbol
_atom_site_fract_x
_atom_site_fract_y
_atom_site_fract_z
Sc1 Sc 0.000 0.000 0.000
Co1 Co 0.000 0.000 0.500
Re1 Re 0.500 0.500 0.301
# Energy above the lowest structure with this stoichiometry (eV per atom): 0.341

(3)
VASP calculation (meta-GGA SCAN) on Li3PdPb at its PBEsol-relaxed geometry.

Cell and atoms, written as CIF:
```
data_Li3PdPb
_cell_length_a 4.636
_cell_length_b 4.636
_cell_length_c 4.636
_cell_angle_alpha 90.00
_cell_angle_beta 90.00
_cell_angle_gamma 90.00
_symmetry_space_group_name_H-M 'P m -3 m'
_symmetry_Int_Tables_number 221
_symmetry_space_group_name_Hall '-P 4 2 3'
loop_
_atom_site_label
_atom_site_type_symbol
_atom_site_fract_x
_atom_site_fract_y
_atom_site_fract_z
Li1 Li 0.000 0.000 0.500
Pd1 Pd 0.000 0.000 0.000
Pb1 Pb 0.500 0.500 0.500
```

(4)
# BaSi2Sb | the Alexandria database | meta-GGA SCAN | PBEsol geometry
data_BaSi2Sb
_cell_length_a 3.757
_cell_length_b 3.757
_cell_length_c 6.927
_cell_angle_alpha 90.00
_cell_angle_beta 90.00
_cell_angle_gamma 90.00
_symmetry_space_group_name_H-M 'P 4 m m'
_symmetry_Int_Tables_number 99
loop_
_symmetry_equiv_pos_as_xyz
'x,y,z'
'-y,x,z'
'-x,-y,z'
'y,-x,z'
'-x,y,z'
'y,x,z'
'x,-y,z'
'-y,-x,z'
loop_
_atom_site_label
_atom_site_type_symbol
_atom_site_fract_x
_atom_site_fract_y
_atom_site_fract_z
Ba1 Ba 0.000 0.000 0.000
Si1 Si 0.000 0.000 0.540
Si2 Si 0.500 0.500 0.696
Sb1 Sb 0.500 0.500 0.331
# Raw formation energy (meV/atom): 82

(5)
VASP calculation (meta-GGA SCAN) on KAs2HPb at its PBEsol-relaxed geometry.

Cell and atoms, written as CIF:
```
data_KAs2HPb
_cell_length_a 5.684
_cell_length_b 5.684
_cell_length_c 3.768
_cell_angle_alpha 90.00
_cell_angle_beta 90.00
_cell_angle_gamma 90.00
_symmetry_space_group_name_H-M 'P 4/m m m'
_symmetry_Int_Tables_number 123
_symmetry_space_group_name_Hall '-P 4 2'
loop_
_atom_site_label
_atom_site_type_symbol
_atom_site_fract_x
_atom_site_fract_y
_atom_site_fract_z
K1 K 0.000 0.000 0.000
As1 As 0.000 0.500 0.500
H1 H 0.500 0.500 0.000
Pb1 Pb 0.500 0.500 0.500
```

(6)
# Li3Cr2Fe2O8 | the Alexandria database | meta-GGA SCAN | PBEsol geometry
data_Li3Cr2Fe2O8
_cell_length_a 9.885
_cell_length_b 5.604
_cell_length_c 5.731
_cell_angle_alpha 90.00
_cell_angle_beta 125.02
_cell_angle_gamma 90.00
_symmetry_space_group_name_H-M 'C 1 2/m 1'
_symmetry_Int_Tables_number 12
loop_
_symmetry_equiv_pos_as_xyz
'x,y,z'
'-x,-y,-z'
'-x,y,-z'
'x,-y,z'
'x+1/2,y+1/2,z'
'-x+1/2,-y+1/2,-z'
'-x+1/2,y+1/2,-z'
'x+1/2,-y+1/2,z'
loop_
_atom_site_label
_atom_site_type_symbol
_atom_site_fract_x
_atom_site_fract_y
_atom_site_fract_z
Li1 Li 0.000 0.000 0.000
Li2 Li 0.250 0.250 0.500
Cr1 Cr 0.000 0.500 0.000
Cr2 Cr 0.000 0.500 0.500
Fe1 Fe 0.250 0.250 0.000
O1 O 0.011 0.267 0.765
O2 O 0.239 0.500 0.216
O3 O 0.242 0.500 0.759
# Raw formation energy (meV/atom): -2099

(7)
VASP calculation (meta-GGA SCAN) on Ca2MgPt at its PBEsol-relaxed geometry.

Cell and atoms, written as CIF:
```
data_Ca2MgPt
_cell_length_a 4.823
_cell_length_b 4.823
_cell_length_c 4.016
_cell_angle_alpha 90.00
_cell_angle_beta 90.00
_cell_angle_gamma 90.00
_symmetry_space_group_name_H-M 'P 4/m m m'
_symmetry_Int_Tables_number 123
_symmetry_space_group_name_Hall '-P 4 2'
loop_
_atom_site_label
_atom_site_type_symbol
_atom_site_fract_x
_atom_site_fract_y
_atom_site_fract_z
Ca1 Ca 0.000 0.500 0.000
Mg1 Mg 0.000 0.000 0.500
Pt1 Pt 0.500 0.500 0.500
```

(8)
VASP calculation (meta-GGA SCAN) on BiHNF2 at its PBEsol-relaxed geometry.

Cell and atoms, written as CIF:
```
data_BiHNF2
_cell_length_a 3.464
_cell_length_b 3.464
_cell_length_c 4.040
_cell_angle_alpha 90.00
_cell_angle_beta 90.00
_cell_angle_gamma 90.00
_symmetry_space_group_name_H-M 'P 4/m m m'
_symmetry_Int_Tables_number 123
_symmetry_space_group_name_Hall '-P 4 2'
loop_
_atom_site_label
_atom_site_type_symbol
_atom_site_fract_x
_atom_site_fract_y
_atom_site_fract_z
Bi1 Bi 0.000 0.000 0.000
H1 H 0.500 0.500 0.500
N1 N 0.500 0.500 0.000
F1 F 0.000 0.500 0.500
```

(9)
# KFe2Rh | the Alexandria database | meta-GGA SCAN | PBEsol geometry
data_KFe2Rh
_cell_length_a 2.701
_cell_length_b 3.737
_cell_length_c 7.308
_cell_angle_alpha 90.00
_cell_angle_beta 90.00
_cell_angle_gamma 90.00
_symmetry_space_group_name_H-M 'P m m m'
_symmetry_Int_Tables_number 47
loop_
_symmetry_equiv_pos_as_xyz
'x,y,z'
'-x,-y,-z'
'-x,-y,z'
'x,y,-z'
'x,-y,-z'
'-x,y,z'
'-x,y,-z'
'x,-y,z'
loop_
_atom_site_label
_atom_site_type_symbol
_atom_site_fract_x
_atom_site_fract_y
_atom_site_fract_z
K1 K 0.000 0.000 0.000
Fe1 Fe 0.500 0.500 0.348
Rh1 Rh 0.000 0.000 0.500
# Energy above the lowest structure with this stoichiometry (eV per atom): 0.000

(10)
VASP calculation (meta-GGA SCAN) on TlCdAg at its PBEsol-relaxed geometry.

Cell and atoms, written as CIF:
```
data_TlCdAg
_cell_length_a 6.611
_cell_length_b 6.611
_cell_length_c 6.611
_cell_angle_alpha 90.00
_cell_angle_beta 90.00
_cell_angle_gamma 90.00
_symmetry_space_group_name_H-M 'F -4 3 m'
_symmetry_Int_Tables_number 216
_symmetry_space_group_name_Hall 'F -4 2 3'
loop_
_atom_site_label
_atom_site_type_symbol
_atom_site_fract_x
_atom_site_fract_y
_atom_site_fract_z
Tl1 Tl 0.000 0.000 0.000
Cd1 Cd 0.250 0.250 0.250
Ag1 Ag 0.250 0.250 0.750
```

(11)
# Nb3FeSe8S2 | the Alexandria database | meta-GGA SCAN | PBEsol geometry
data_Nb3FeSe8S2
_cell_length_a 9.188
_cell_length_b 3.443
_cell_length_c 9.895
_cell_angle_alpha 90.00
_cell_angle_beta 113.55
_cell_angle_gamma 90.00
_symmetry_space_group_name_H-M 'P 1 m 1'
_symmetry_Int_Tables_number 6
loop_
_symmetry_equiv_pos_as_xyz
'x,y,z'
'x,-y,z'
loop_
_atom_site_label
_atom_site_type_symbol
_atom_site_fract_x
_atom_site_fract_y
_atom_site_fract_z
Nb1 Nb 0.000 0.000 0.000
Nb2 Nb 0.180 0.500 0.705
Nb3 Nb 0.454 0.500 0.268
Fe1 Fe 0.272 0.000 0.528
Se1 Se 0.214 0.500 0.995
Se2 Se 0.243 0.000 0.276
Se3 Se 0.466 0.500 0.546
Se4 Se 0.561 0.000 0.129
Se5 Se 0.693 0.000 0.390
Se6 Se 0.763 0.500 0.877
Se7 Se 0.891 0.500 0.139
Se8 Se 0.961 0.000 0.711
S1 S 0.095 0.500 0.453
S2 S 0.382 0.000 0.776
# Raw formation energy (meV/atom): -724

(12)
# TaSeBr3 | the Alexandria database | meta-GGA SCAN | PBEsol geometry
data_TaSeBr3
_cell_length_a 5.041
_cell_length_b 5.041
_cell_length_c 5.041
_cell_angle_alpha 90.00
_cell_angle_beta 90.00
_cell_angle_gamma 90.00
_symmetry_space_group_name_H-M 'P m -3 m'
_symmetry_Int_Tables_number 221
_symmetry_space_group_name_Hall '-P 4 2 3'
loop_
_atom_site_label
_atom_site_type_symbol
_atom_site_fract_x
_atom_site_fract_y
_atom_site_fract_z
Ta1 Ta 0.000 0.000 0.000
Se1 Se 0.500 0.500 0.500
Br1 Br 0.000 0.000 0.500
# Raw formation energy (meV/atom): 131

Number 1: E -13.780 eV per atom, N(E_F) 0.288 states/eV/atom. Number 2: E -43.270 eV per atom, N(E_F) 0.661 states/eV/atom. Number 3: E -23.239 eV per atom, N(E_F) 0.396 states/eV/atom. Number 4: E -24.129 eV per atom, N(E_F) 0.491 states/eV/atom. Number 5: E -25.236 eV per atom, N(E_F) 0.812 states/eV/atom. Number 6: E -10.769 eV per atom, N(E_F) 0.419 states/eV/atom. Number 7: E -24.109 eV per atom, N(E_F) 0.708 states/eV/atom. Number 8: E -19.834 eV per atom, N(E_F) 0.135 states/eV/atom. Number 9: E -19.146 eV per atom, N(E_F) 0.698 states/eV/atom. Number 10: E -44.475 eV per atom, N(E_F) 0.382 states/eV/atom. Number 11: E -21.967 eV per atom, N(E_F) 0.138 states/eV/atom. Number 12: E -28.878 eV per atom, N(E_F) 1.052 states/eV/atom.